VASP calculation (GGA+U) on crystalline PuCu2NiO6 at its relaxed geometry.

a b c (Å): 5.3338 6.8362 6.8362
angles (deg): 84.45 82.30 82.30
Last column: nearest neighbours and their distance in Å.
Positions (direct):
Pu (0.2500, 0.2619, 0.7381)  6 O 1.99-2.15
Pu (0.7500, 0.7381, 0.2619)  6 O 1.99-2.15
Cu (0.1809, 0.7855, 0.6059)  4 O 1.94-1.98
Cu (0.3191, 0.3941, 0.2145)  4 O 1.94-1.98
Cu (0.8191, 0.2145, 0.3941)  4 O 1.94-1.98
Cu (0.6809, 0.6059, 0.7855)  4 O 1.94-1.98
Ni (0.2500, 0.9147, 0.0853)  6 O 2.07-2.10
Ni (0.7500, 0.0853, 0.9147)  6 O 2.07-2.10
O (0.1185, 0.9758, 0.8065)  1 Cu 1.95, 2 Ni 2.07-2.10, 1 Pu 2.15
O (0.3815, 0.1935, 0.0242)  1 Cu 1.95, 2 Ni 2.07-2.10, 1 Pu 2.15
O (0.8815, 0.0242, 0.1935)  1 Cu 1.95, 2 Ni 2.07-2.10, 1 Pu 2.15
O (0.6185, 0.8065, 0.9758)  1 Cu 1.95, 2 Ni 2.07-2.10, 1 Pu 2.15
O (0.3971, 0.8550, 0.3576)  1 Cu 1.98, 1 Pu 1.99, 1 Ni 2.10
O (0.1029, 0.6424, 0.1450)  1 Cu 1.98, 1 Pu 1.99, 1 Ni 2.10
O (0.6029, 0.1450, 0.6424)  1 Cu 1.98, 1 Pu 1.99, 1 Ni 2.10
O (0.8971, 0.3576, 0.8550)  1 Cu 1.98, 1 Pu 1.99, 1 Ni 2.10
O (0.8655, 0.7131, 0.5398)  2 Cu 1.94-1.96, 1 Pu 2.06
O (0.6345, 0.4602, 0.2869)  2 Cu 1.94-1.96, 1 Pu 2.06
O (0.1345, 0.2869, 0.4602)  2 Cu 1.94-1.96, 1 Pu 2.06
O (0.3655, 0.5398, 0.7131)  2 Cu 1.94-1.96, 1 Pu 2.06

- Mass density: 7.16 Mg/m³
- Raw total energy: -0.253 hartree per atom
- Symmetry: C2/c (15)
- Crystal system: monoclinic